# FeRe2Ir, relaxed, DFT PBE-GGA
data_FeRe2Ir
_space_group_name_H-M_alt 'P m m m'
_space_group_IT_number 47
_cell_length_a 2.704
_cell_length_b 3.768
_cell_length_c 5.418
_cell_angle_alpha 90.00
_cell_angle_beta 90.00
_cell_angle_gamma 90.00
loop_
_space_group_symop_operation_xyz
'x,y,z'
'-x,-y,-z'
'-x,-y,z'
'x,y,-z'
'x,-y,-z'
'-x,y,z'
'-x,y,-z'
'x,-y,z'
loop_
_atom_site_label
_atom_site_type_symbol
_atom_site_fract_x
_atom_site_fract_y
_atom_site_fract_z
_atom_site_occupancy
Fe1 Fe 0.000 0.000 0.000 1
Re1 Re 0.500 0.500 0.230 1
Ir1 Ir 0.000 0.000 0.500 1
# Magnetic moment (μB per atom): 0.00
# Fermi-level density of states (states/eV/f.u.): 3.14
# Excess energy over the best structure of this formula in the dataset (meV/atom): 0.0
# Energy relative to the elements (eV per atom): -0.051
# VASP energy (eV/atom): -10.606



# ScOsRu2, relaxed, DFT PBE-GGA
data_ScOsRu2
_space_group_name_H-M_alt 'P m m m'
_space_group_IT_number 47
_cell_length_a 2.820
_cell_length_b 3.796
_cell_length_c 5.771
_cell_angle_alpha 90.00
_cell_angle_beta 90.00
_cell_angle_gamma 90.00
loop_
_space_group_symop_operation_xyz
'x,y,z'
'-x,-y,-z'
'-x,-y,z'
'x,y,-z'
'x,-y,-z'
'-x,y,z'
'-x,y,-z'
'x,-y,z'
loop_
_atom_site_label
_atom_site_type_symbol
_atom_site_fract_x
_atom_site_fract_y
_atom_site_fract_z
_atom_site_occupancy
Sc1 Sc 0.000 0.000 0.000 1
Os1 Os 0.000 0.000 0.500 1
Ru1 Ru 0.500 0.500 0.272 1
# Magnetic moment (μB per atom): 0.00
# Fermi-level density of states (states/eV/f.u.): 5.02
# Excess energy over the best structure of this formula in the dataset (meV/atom): 60.7
# Energy relative to the elements (eV per atom): -0.006
# VASP energy (eV/atom): -9.034



# CeHfPa14, relaxed, DFT PBE-GGA
data_CeHfPa14
_space_group_name_H-M_alt 'P 4/m m m'
_space_group_IT_number 123
_space_group_name_Hall '-P 4 2'
_cell_length_a 6.497
_cell_length_b 6.497
_cell_length_c 9.505
_cell_angle_alpha 90.00
_cell_angle_beta 90.00
_cell_angle_gamma 90.00
loop_
_atom_site_label
_atom_site_type_symbol
_atom_site_fract_x
_atom_site_fract_y
_atom_site_fract_z
_atom_site_occupancy
Ce1 Ce 0.000 0.000 0.000 1
Hf1 Hf 0.500 0.500 0.000 1
Pa1 Pa 0.000 0.000 0.500 1
Pa2 Pa 0.000 0.500 0.000 1
Pa3 Pa 0.000 0.500 0.500 1
Pa4 Pa 0.253 0.253 0.248 1
Pa5 Pa 0.500 0.500 0.500 1
# Magnetic moment (μB per atom): 0.00
# Fermi-level density of states (states/eV/f.u.): 27.24
# Energy relative to the elements (eV per atom): 0.028
# VASP energy (eV/atom): -9.274



# TlC2Br, relaxed, DFT PBE-GGA
data_TlC2Br
_space_group_name_H-M_alt 'F m -3 m'
_space_group_IT_number 225
_space_group_name_Hall '-F 4 2 3'
_cell_length_a 6.426
_cell_length_b 6.426
_cell_length_c 6.426
_cell_angle_alpha 90.00
_cell_angle_beta 90.00
_cell_angle_gamma 90.00
loop_
_atom_site_label
_atom_site_type_symbol
_atom_site_fract_x
_atom_site_fract_y
_atom_site_fract_z
_atom_site_occupancy
Tl1 Tl 0.000 0.000 0.000 1
C1 C 0.250 0.250 0.250 1
Br1 Br 0.000 0.000 0.500 1
# Magnetic moment (μB per atom): 0.00
# Fermi-level density of states (states/eV/f.u.): 3.59
# E_form (uncorrected) (meV per atom): 2865
# Excess energy over the best structure of this formula in the dataset (meV/atom): 460.9
# VASP energy (eV/atom): -2.757



# CeTh7In4, relaxed, DFT PBE-GGA
data_CeTh7In4
_space_group_name_H-M_alt 'C 1 2/m 1'
_space_group_IT_number 12
_cell_length_a 12.644
_cell_length_b 5.924
_cell_length_c 11.878
_cell_angle_alpha 90.00
_cell_angle_beta 121.20
_cell_angle_gamma 90.00
loop_
_space_group_symop_operation_xyz
'x,y,z'
'-x,-y,-z'
'-x,y,-z'
'x,-y,z'
'x+1/2,y+1/2,z'
'-x+1/2,-y+1/2,-z'
'-x+1/2,y+1/2,-z'
'x+1/2,-y+1/2,z'
loop_
_atom_site_label
_atom_site_type_symbol
_atom_site_fract_x
_atom_site_fract_y
_atom_site_fract_z
_atom_site_occupancy
Ce1 Ce 0.000 0.000 0.000 1
Th1 Th 0.000 0.500 0.000 1
Th2 Th 0.041 0.000 0.374 1
Th3 Th 0.159 0.500 0.566 1
Th4 Th 0.205 0.000 0.902 1
In1 In 0.072 0.500 0.774 1
In2 In 0.211 0.500 0.319 1
# Magnetic moment (μB per atom): 0.07
# Fermi-level density of states (states/eV/f.u.): 18.03
# Energy relative to the elements (eV per atom): 0.128
# VASP energy (eV/atom): -5.607



# CrP4, relaxed, DFT PBE-GGA
data_CrP4
_space_group_name_H-M_alt 'I 4/m m m'
_space_group_IT_number 139
_space_group_name_Hall '-I 4 2'
_cell_length_a 4.641
_cell_length_b 4.641
_cell_length_c 7.541
_cell_angle_alpha 90.00
_cell_angle_beta 90.00
_cell_angle_gamma 90.00
loop_
_atom_site_label
_atom_site_type_symbol
_atom_site_fract_x
_atom_site_fract_y
_atom_site_fract_z
_atom_site_occupancy
Cr1 Cr 0.000 0.000 0.000 1
P1 P 0.000 0.000 0.321 1
P2 P 0.000 0.500 0.250 1
# Magnetic moment (μB per atom): 0.78
# Fermi-level density of states (states/eV/f.u.): 1.92
# Energy relative to the elements (eV per atom): 0.419
# VASP energy (eV/atom): -5.833



# MgRe2Se, relaxed, DFT PBE-GGA
data_MgRe2Se
_space_group_name_H-M_alt 'C m m m'
_space_group_IT_number 65
_space_group_name_Hall '-C 2 2'
_cell_length_a 2.996
_cell_length_b 4.714
_cell_length_c 9.222
_cell_angle_alpha 90.00
_cell_angle_beta 90.00
_cell_angle_gamma 90.00
loop_
_atom_site_label
_atom_site_type_symbol
_atom_site_fract_x
_atom_site_fract_y
_atom_site_fract_z
_atom_site_occupancy
Mg1 Mg 0.000 0.000 0.000 1
Re1 Re 0.000 0.500 0.254 1
Se1 Se 0.000 0.000 0.500 1
# Magnetic moment (μB per atom): 0.00
# Fermi-level density of states (states/eV/f.u.): 3.19
# E_form (uncorrected) (meV per atom): 747
# Excess energy over the best structure of this formula in the dataset (meV/atom): 652.7
# VASP energy (eV/atom): -6.747



# Tm2HgIr, relaxed, DFT PBE-GGA
data_Tm2HgIr
_space_group_name_H-M_alt 'R 3 m'
_space_group_IT_number 160
_space_group_name_Hall 'R 3 -2"'
_cell_length_a 4.0551
_cell_length_b 4.0551
_cell_length_c 21.7311
_cell_angle_alpha 90.00
_cell_angle_beta 90.00
_cell_angle_gamma 120.00
loop_
_atom_site_label
_atom_site_type_symbol
_atom_site_fract_x
_atom_site_fract_y
_atom_site_fract_z
_atom_site_occupancy
Tm1 Tm 0.0000 0.0000 0.0000 1
Tm2 Tm 0.0000 0.0000 0.2020 1
Hg1 Hg 0.0000 0.0000 0.4354 1
Ir1 Ir 0.0000 0.0000 0.5997 1
# Magnetic moment (μB per atom): 0.00
# Fermi-level density of states (states/eV/f.u.): 2.01
# Excess energy over the best structure of this formula in the dataset (meV/atom): 125.6
# Energy relative to the elements (eV per atom): -0.617
# VASP energy (eV/atom): -5.144



# TaHgTe2, relaxed, DFT PBE-GGA
data_TaHgTe2
_space_group_name_H-M_alt 'I -4 m 2'
_space_group_IT_number 119
_space_group_name_Hall 'I -4 -2'
_cell_length_a 4.377
_cell_length_b 4.377
_cell_length_c 9.911
_cell_angle_alpha 90.00
_cell_angle_beta 90.00
_cell_angle_gamma 90.00
loop_
_atom_site_label
_atom_site_type_symbol
_atom_site_fract_x
_atom_site_fract_y
_atom_site_fract_z
_atom_site_occupancy
Ta1 Ta 0.000 0.000 0.000 1
Hg1 Hg 0.000 0.500 0.250 1
Te1 Te 0.000 0.000 0.500 1
Te2 Te 0.000 0.500 0.750 1
# Magnetic moment (μB per atom): 0.22
# Fermi-level density of states (states/eV/f.u.): 3.65
# E_form (uncorrected) (meV per atom): 625
# VASP energy (eV/atom): -3.984



# BeRhO, relaxed, DFT PBE-GGA
data_BeRhO
_space_group_name_H-M_alt 'R 3 m'
_space_group_IT_number 160
_space_group_name_Hall 'R 3 -2"'
_cell_length_a 2.6939
_cell_length_b 2.6939
_cell_length_c 28.4453
_cell_angle_alpha 90.00
_cell_angle_beta 90.00
_cell_angle_gamma 120.00
loop_
_atom_site_label
_atom_site_type_symbol
_atom_site_fract_x
_atom_site_fract_y
_atom_site_fract_z
_atom_site_occupancy
Be1 Be 0.0000 0.0000 0.0000 1
Be2 Be 0.0000 0.0000 0.2540 1
Rh1 Rh 0.0000 0.0000 0.4178 1
Rh2 Rh 0.0000 0.0000 0.8276 1
O1 O 0.0000 0.0000 0.3168 1
O2 O 0.0000 0.0000 0.9062 1
# Magnetic moment (μB per atom): 0.00
# Fermi-level density of states (states/eV/f.u.): 2.00
# E_form (uncorrected) (meV per atom): -1520
# VASP energy (eV/atom): -6.865



# Cu2NiAg, relaxed, DFT PBE-GGA
data_Cu2NiAg
_space_group_name_H-M_alt 'C 1 2/m 1'
_space_group_IT_number 12
_cell_length_a 8.636
_cell_length_b 2.670
_cell_length_c 4.653
_cell_angle_alpha 90.00
_cell_angle_beta 100.37
_cell_angle_gamma 90.00
loop_
_space_group_symop_operation_xyz
'x,y,z'
'-x,-y,-z'
'-x,y,-z'
'x,-y,z'
'x+1/2,y+1/2,z'
'-x+1/2,-y+1/2,-z'
'-x+1/2,y+1/2,-z'
'x+1/2,-y+1/2,z'
loop_
_atom_site_label
_atom_site_type_symbol
_atom_site_fract_x
_atom_site_fract_y
_atom_site_fract_z
_atom_site_occupancy
Cu1 Cu 0.243 0.000 0.229 1
Ni1 Ni 0.000 0.500 0.000 1
Ag1 Ag 0.000 0.000 0.500 1
# Magnetic moment (μB per atom): 0.00
# Fermi-level density of states (states/eV/f.u.): 2.17
# Energy relative to the elements (eV per atom): 0.137
# VASP energy (eV/atom): -4.070



# TaAlIn2, relaxed, DFT PBE-GGA
data_TaAlIn2
_space_group_name_H-M_alt 'I -4 2 d'
_space_group_IT_number 122
_space_group_name_Hall 'I -4 2bw'
_cell_length_a 7.801
_cell_length_b 7.801
_cell_length_c 5.673
_cell_angle_alpha 90.00
_cell_angle_beta 90.00
_cell_angle_gamma 90.00
loop_
_atom_site_label
_atom_site_type_symbol
_atom_site_fract_x
_atom_site_fract_y
_atom_site_fract_z
_atom_site_occupancy
Ta1 Ta 0.000 0.000 0.000 1
Al1 Al 0.000 0.000 0.500 1
In1 In 0.236 0.750 0.625 1
# Magnetic moment (μB per atom): 0.00
# Fermi-level density of states (states/eV/f.u.): 2.21
# Energy relative to the elements (eV per atom): 0.586
# VASP energy (eV/atom): -4.682



# NiIr5Rh6, relaxed, DFT PBE-GGA
data_NiIr5Rh6
_space_group_name_H-M_alt 'C m m m'
_space_group_IT_number 65
_space_group_name_Hall '-C 2 2'
_cell_length_a 3.835
_cell_length_b 11.504
_cell_length_c 7.686
_cell_angle_alpha 90.00
_cell_angle_beta 90.00
_cell_angle_gamma 90.00
loop_
_atom_site_label
_atom_site_type_symbol
_atom_site_fract_x
_atom_site_fract_y
_atom_site_fract_z
_atom_site_occupancy
Ni1 Ni 0.000 0.000 0.000 1
Ir1 Ir 0.000 0.000 0.500 1
Ir2 Ir 0.000 0.332 0.500 1
Ir3 Ir 0.000 0.333 0.000 1
Rh1 Rh 0.000 0.166 0.248 1
Rh2 Rh 0.000 0.500 0.250 1
# Magnetic moment (μB per atom): 0.00
# Fermi-level density of states (states/eV/f.u.): 13.64
# Energy relative to the elements (eV per atom): 0.002
# VASP energy (eV/atom): -7.847